The following is a DFT calculation (GGA-PBE) of a relaxed Tb4CoI5 crystal.

Output
uncorrected formation energy = -10.37 eV/f.u.
total magnetic moment = 0.000 μB/atom

Geometry as CIF:
```
data_Tb4CoI5
_chemical_formula_sum 'Tb8 Co2 I10'
_space_group_name_H-M_alt 'C 1 2/m 1'
_space_group_IT_number 12
_cell_length_a 19.4960
_cell_length_b 4.0682
_cell_length_c 8.8809
_cell_angle_alpha 90.00
_cell_angle_beta 102.62
_cell_angle_gamma 90.00
loop_
_space_group_symop_operation_xyz
'x,y,z'
'-x,-y,-z'
'-x,y,-z'
'x,-y,z'
'x+1/2,y+1/2,z'
'-x+1/2,-y+1/2,-z'
'-x+1/2,y+1/2,-z'
'x+1/2,-y+1/2,z'
loop_
_atom_site_label
_atom_site_fract_x
_atom_site_fract_y
_atom_site_fract_z
Tb1 0.9997 0.0000 0.1966
Tb2 0.1392 0.5000 0.0722
Co1 0.0000 0.5000 0.0000
I1 0.0000 0.5000 0.5000
I2 0.1671 0.0000 0.3447
I3 0.1759 0.0000 0.8289
```

---

The following is a DFT calculation (GGA-PBE) of a relaxed NbSI2N crystal.

Output
uncorrected formation energy = 5.79 eV/f.u.
total magnetic moment = 0.550 μB/atom
E above lowest polymorph = 702 meV per atom

Geometry as CIF:
```
data_NbSI2N
_chemical_formula_sum 'Nb1 S1 I2 N1'
_space_group_name_H-M_alt 'P 4/m m m'
_space_group_IT_number 123
_space_group_name_Hall '-P 4 2'
_cell_length_a 5.7957
_cell_length_b 5.7957
_cell_length_c 3.4047
_cell_angle_alpha 90.00
_cell_angle_beta 90.00
_cell_angle_gamma 90.00
loop_
_atom_site_label
_atom_site_fract_x
_atom_site_fract_y
_atom_site_fract_z
Nb1 0.0000 0.0000 0.0000
S1 0.5000 0.5000 0.5000
I1 0.0000 0.5000 0.5000
N1 0.5000 0.5000 0.0000
```

---

The following is a DFT calculation (GGA-PBE) of a relaxed Tl2ZnSi crystal.

Output
uncorrected formation energy = 1.06 eV/f.u.
total magnetic moment = 0.000 μB/atom
E above lowest polymorph = 105 meV per atom

Geometry as CIF:
```
data_Tl2ZnSi
_chemical_formula_sum 'Tl4 Zn2 Si2'
_space_group_name_H-M_alt 'C m m 2'
_space_group_IT_number 35
_cell_length_a 4.6163
_cell_length_b 5.0484
_cell_length_c 8.3948
_cell_angle_alpha 90.00
_cell_angle_beta 90.00
_cell_angle_gamma 90.00
loop_
_space_group_symop_operation_xyz
'x,y,z'
'-x,-y,z'
'-x,y,z'
'x,-y,z'
'x+1/2,y+1/2,z'
'-x+1/2,-y+1/2,z'
'-x+1/2,y+1/2,z'
'x+1/2,-y+1/2,z'
loop_
_atom_site_label
_atom_site_fract_x
_atom_site_fract_y
_atom_site_fract_z
Tl1 0.0000 0.0000 0.0000
Tl2 0.0000 0.5000 0.3524
Zn1 0.0000 0.0000 0.6120
Si1 0.0000 0.5000 0.7415
```

---

The following is a DFT calculation (GGA-PBE) of a relaxed Tb4PmSm3S8 crystal.

Output
uncorrected formation energy = -32.25 eV/f.u.
total magnetic moment = 0.000 μB/atom

Geometry as CIF:
```
data_Tb4PmSm3S8
_chemical_formula_sum 'Tb12 Pm3 Sm9 S24'
_space_group_name_H-M_alt 'R -3 m'
_space_group_IT_number 166
_space_group_name_Hall '-R 3 2"'
_cell_length_a 7.9263
_cell_length_b 7.9263
_cell_length_c 19.5573
_cell_angle_alpha 90.00
_cell_angle_beta 90.00
_cell_angle_gamma 120.00
loop_
_atom_site_label
_atom_site_fract_x
_atom_site_fract_y
_atom_site_fract_z
Tb1 0.0000 0.0000 0.0000
Tb2 0.0000 0.5000 0.0000
Pm1 0.0000 0.0000 0.5000
Sm1 0.0000 0.5000 0.5000
S1 0.0000 0.0000 0.2528
S2 0.0010 0.5005 0.7469
```

---

The following is a DFT calculation (GGA-PBE) of a relaxed Ce2Zn2SnPd5 crystal.

Output
calculated formation energy = -0.60 eV/atom
total magnetic moment = 0.198 μB/atom

Geometry as CIF:
```
data_Ce2Zn2SnPd5
_chemical_formula_sum 'Ce4 Zn4 Sn2 Pd10'
_space_group_name_H-M_alt 'P 4/m b m'
_space_group_IT_number 127
_space_group_name_Hall '-P 4 2ab'
_cell_length_a 9.9603
_cell_length_b 9.9603
_cell_length_c 3.8131
_cell_angle_alpha 90.00
_cell_angle_beta 90.00
_cell_angle_gamma 90.00
loop_
_atom_site_label
_atom_site_fract_x
_atom_site_fract_y
_atom_site_fract_z
Ce1 0.1786 0.3214 0.0000
Zn1 0.1181 0.6181 0.0000
Sn1 0.0000 0.0000 0.0000
Pd1 0.0000 0.5000 0.5000
Pd2 0.0660 0.7908 0.5000
```

---

The following is a DFT calculation (GGA-PBE) of a relaxed CsTl3Cl4 crystal.

Output
uncorrected formation energy = -9.96 eV/f.u.
total magnetic moment = 0.000 μB/atom

Geometry as CIF:
```
data_CsTl3Cl4
_chemical_formula_sum 'Cs2 Tl6 Cl8'
_space_group_name_H-M_alt 'C 1 2/m 1'
_space_group_IT_number 12
_cell_length_a 13.2803
_cell_length_b 9.3951
_cell_length_c 4.7033
_cell_angle_alpha 90.00
_cell_angle_beta 90.08
_cell_angle_gamma 90.00
loop_
_space_group_symop_operation_xyz
'x,y,z'
'-x,-y,-z'
'-x,y,-z'
'x,-y,z'
'x+1/2,y+1/2,z'
'-x+1/2,-y+1/2,-z'
'-x+1/2,y+1/2,-z'
'x+1/2,-y+1/2,z'
loop_
_atom_site_label
_atom_site_fract_x
_atom_site_fract_y
_atom_site_fract_z
Cs1 0.0000 0.0000 0.0000
Tl1 0.0000 0.5000 0.0000
Tl2 0.2500 0.2500 0.5000
Cl1 0.0000 0.2629 0.5000
Cl2 0.2444 0.5000 0.0008
```

---

The following is a DFT calculation (GGA-PBE) of a relaxed AsIrCl2 crystal.

Output
uncorrected formation energy = 0.05 eV/f.u.
total magnetic moment = 0.000 μB/atom
E above lowest polymorph = 484 meV per atom

Geometry as CIF:
```
data_AsIrCl2
_chemical_formula_sum 'As2 Ir2 Cl4'
_space_group_name_H-M_alt 'C m m m'
_space_group_IT_number 65
_space_group_name_Hall '-C 2 2'
_cell_length_a 4.9585
_cell_length_b 13.2454
_cell_length_c 3.4206
_cell_angle_alpha 90.00
_cell_angle_beta 90.00
_cell_angle_gamma 90.00
loop_
_atom_site_label
_atom_site_fract_x
_atom_site_fract_y
_atom_site_fract_z
As1 0.0000 0.0000 0.0000
Ir1 0.0000 0.5000 0.0000
Cl1 0.0000 0.3754 0.5000
```

---

The following is a DFT calculation (GGA-PBE) of a relaxed SrLi2SnCl6 crystal.

Output
uncorrected formation energy = -17.49 eV/f.u.
total magnetic moment = 0.000 μB/atom

Geometry as CIF:
```
data_SrLi2SnCl6
_chemical_formula_sum 'Sr4 Li8 Sn4 Cl24'
_space_group_name_H-M_alt 'C 1 2/c 1'
_space_group_IT_number 15
_cell_length_a 12.5008
_cell_length_b 12.6292
_cell_length_c 7.3038
_cell_angle_alpha 90.00
_cell_angle_beta 99.96
_cell_angle_gamma 90.00
loop_
_space_group_symop_operation_xyz
'x,y,z'
'-x,-y,-z'
'-x,y,-z+1/2'
'x,-y,z+1/2'
'x+1/2,y+1/2,z'
'-x+1/2,-y+1/2,-z'
'-x+1/2,y+1/2,-z+1/2'
'x+1/2,-y+1/2,z+1/2'
loop_
_atom_site_label
_atom_site_fract_x
_atom_site_fract_y
_atom_site_fract_z
Sr1 0.0000 0.0988 0.2500
Li1 0.1797 0.4175 0.3133
Sn1 0.0000 0.2872 0.7500
Cl1 0.1213 0.2685 0.1202
Cl2 0.1217 0.0816 0.6247
Cl3 0.1331 0.4273 0.6251
```

---

The following is a DFT calculation (GGA-PBE) of a relaxed CsB3F crystal.

Output
uncorrected formation energy = 10.71 eV/f.u.
total magnetic moment = 0.315 μB/atom
E above lowest polymorph = 0 meV per atom

Geometry as CIF:
```
data_CsB3F
_chemical_formula_sum 'Cs1 B3 F1'
_space_group_name_H-M_alt 'P m -3 m'
_space_group_IT_number 221
_space_group_name_Hall '-P 4 2 3'
_cell_length_a 4.6803
_cell_length_b 4.6803
_cell_length_c 4.6803
_cell_angle_alpha 90.00
_cell_angle_beta 90.00
_cell_angle_gamma 90.00
loop_
_atom_site_label
_atom_site_fract_x
_atom_site_fract_y
_atom_site_fract_z
Cs1 0.0000 0.0000 0.0000
B1 0.0000 0.5000 0.5000
F1 0.5000 0.5000 0.5000
```

---

The following is a DFT calculation (GGA-PBE) of a relaxed TaTlCo2 crystal.

Output
calculated formation energy = 0.11 eV/atom
total magnetic moment = 0.308 μB/atom
E above lowest polymorph = 0 meV per atom

Geometry as CIF:
```
data_TaTlCo2
_chemical_formula_sum 'Ta1 Tl1 Co2'
_space_group_name_H-M_alt 'P 1 2/m 1'
_space_group_IT_number 10
_cell_length_a 3.1543
_cell_length_b 3.1431
_cell_length_c 6.2634
_cell_angle_alpha 90.00
_cell_angle_beta 90.07
_cell_angle_gamma 90.00
loop_
_space_group_symop_operation_xyz
'x,y,z'
'-x,-y,-z'
'-x,y,-z'
'x,-y,z'
loop_
_atom_site_label
_atom_site_fract_x
_atom_site_fract_y
_atom_site_fract_z
Ta1 0.0000 0.0000 0.0000
Tl1 0.0000 0.0000 0.5000
Co1 0.4991 0.5000 0.7888
```

---

The following is a DFT calculation (GGA-PBE) of a relaxed HoNiBi2 crystal.

Output
calculated formation energy = 0.10 eV/atom
total magnetic moment = 0.000 μB/atom

Geometry as CIF:
```
data_HoNiBi2
_chemical_formula_sum 'Ho3 Ni3 Bi6'
_space_group_name_H-M_alt 'R -3 m'
_space_group_IT_number 166
_space_group_name_Hall '-R 3 2"'
_cell_length_a 3.5500
_cell_length_b 3.5500
_cell_length_c 29.6852
_cell_angle_alpha 90.00
_cell_angle_beta 90.00
_cell_angle_gamma 120.00
loop_
_atom_site_label
_atom_site_fract_x
_atom_site_fract_y
_atom_site_fract_z
Ho1 0.0000 0.0000 0.0000
Ni1 0.0000 0.0000 0.5000
Bi1 0.0000 0.0000 0.1069
```

---

The following is a DFT calculation (GGA-PBE) of a relaxed PrNi6B4 crystal.

Output
calculated formation energy = -0.25 eV/atom
total magnetic moment = 0.000 μB/atom

Geometry as CIF:
```
data_PrNi6B4
_chemical_formula_sum 'Pr1 Ni6 B4'
_space_group_name_H-M_alt 'P -6 m 2'
_space_group_IT_number 187
_space_group_name_Hall 'P -6 2'
_cell_length_a 6.1605
_cell_length_b 6.1605
_cell_length_c 3.4510
_cell_angle_alpha 90.00
_cell_angle_beta 90.00
_cell_angle_gamma 120.00
loop_
_atom_site_label
_atom_site_fract_x
_atom_site_fract_y
_atom_site_fract_z
Pr1 0.0000 0.0000 0.0000
Ni1 0.2050 0.4100 0.5000
Ni2 0.5314 0.0627 0.0000
B1 0.3333 0.6667 0.0000
B2 0.4512 0.2256 0.5000
```

---

Result set for D(E_F): 0.607, 0.558, 0.393, 0.543, 1.580, 0.000, 0.399, 0.000, 0.829, 0.856, 0.879, 0.427 states/eV per atom, one per record in the order listed.